(1)
PmNp2Sn9 (PBE-GGA, optimized geometry); raw total energy = -5.814 eV/atom; energy relative to the elements = -0.259 eV per atom; calculated density = 9.1 Mg/m³; space-group type = P4/mmm (123); volume = 308.1 Å³/cell
1.0
4.683 0.000 0.000
0.000 4.683 0.000
0.000 0.000 14.051
Pm Np Sn
1 2 9
Direct
0.000 0.000 0.000
0.000 0.000 0.337
0.000 0.000 0.663
0.000 0.500 0.172
0.000 0.500 0.500
0.000 0.500 0.828
0.500 0.000 0.172
0.500 0.000 0.500
0.500 0.000 0.828
0.500 0.500 0.000
0.500 0.500 0.335
0.500 0.500 0.665


(2)
K2YHg (PBE-GGA, optimized geometry); raw total energy = -2.170 eV/atom; energy relative to the elements = 0.071 eV per atom; calculated density = 3.2 Mg/m³; space-group type = Cm (8); volume = 192.3 Å³/cell
1.0
5.170 -1.994 0.000
5.170 1.994 0.000
-2.753 0.000 9.330
K Y Hg
2 1 1
Direct
0.000 0.000 0.000
0.165 0.165 0.623
0.807 0.807 0.312
0.519 0.519 0.311


(3)
Nd6CdPb (PBE-GGA, optimized geometry); raw total energy = -4.376 eV/atom; energy relative to the elements = -0.222 eV per atom; calculated density = 7.9 Mg/m³; space-group type = P4/mmm (123); volume = 249.2 Å³/cell
1.0
5.008 0.000 0.000
0.000 5.008 0.000
0.000 0.000 9.933
Nd Cd Pb
6 1 1
Direct
0.000 0.000 0.000
0.000 0.000 0.500
0.000 0.500 0.249
0.000 0.500 0.751
0.500 0.000 0.249
0.500 0.000 0.751
0.500 0.500 0.000
0.500 0.500 0.500